A relaxed UI3 crystal. Source: Alexandria via LeMat-Bulk, functional PBEsol.

Values from the calculation:
- total energy (eV/atom) = -4.95
- DOS(E_F) (states/eV per atom) = 1.982

a b c (Å): 10.721 10.721 3.819
angles (deg): 90.00 90.00 119.50
Fractional coordinates of all 8 atoms:
U 0.167 0.833 0.750
U 0.833 0.167 0.250
I 0.087 0.294 0.750
I 0.294 0.087 0.250
I 0.296 0.704 0.250
I 0.704 0.296 0.750
I 0.706 0.913 0.750
I 0.913 0.706 0.250